{"formula": "Ca5P2O", "functional": "PBE", "state": "optimized geometry", "sg": "No. 63", "final_energy_ev_per_atom": -4.501, "dos_ef_per_ev_atom": 0.27, "cell": [[-0.3824, -5.3882, 1.3105], [5.4794, 3.1377, 2.7117], [-6.8318, 2.9985, 10.3352]], "species": ["Ca", "Ca", "Ca", "Ca", "Ca", "Ca", "Ca", "Ca", "Ca", "Ca", "P", "P", "P", "P", "O", "O"], "fractional_positions": [[0.9436, 0.8871, 0.8744], [0.9436, 0.8871, 0.6256], [0.3245, 0.6491, 0.4017], [0.3245, 0.6491, 0.0983], [0.7165, 0.4330, 0.2500], [0.2835, 0.5670, 0.7500], [0.6755, 0.3509, 0.5983], [0.6755, 0.3509, 0.9017], [0.0564, 0.1129, 0.1256], [0.0564, 0.1129, 0.3744], [0.8409, 0.6819, 0.4331], [0.8409, 0.6819, 0.0669], [0.1591, 0.3181, 0.5669], [0.1591, 0.3181, 0.9331], [0.8016, 0.6033, 0.7500], [0.1984, 0.3967, 0.2500]]}